(one)
! Na3IBr, PBEsol geometry, DFT SCAN; values from VASP
&SYSTEM
  ibrav = 0, nat = 5, ntyp = 3
/
ATOMIC_SPECIES
Na 22.99 Na.upf
I 126.90 I.upf
Br 79.90 Br.upf
CELL_PARAMETERS angstrom
5.6719 0.0000 0.0000
0.0000 5.6719 0.0000
0.0000 0.0000 5.6719
ATOMIC_POSITIONS crystal
Na 0.0000 0.0000 0.5000
Na 0.0000 0.5000 0.0000
Na 0.5000 0.0000 0.0000
I 0.5000 0.5000 0.5000
Br 0.0000 0.0000 0.0000
! symmetry	No. 221
! DOS(E_F)	1.75	states/eV per cell



(two)
! Na3IBr, PBEsol geometry, DFT SCAN; values from VASP
&SYSTEM
  ibrav = 0, nat = 5, ntyp = 3
/
ATOMIC_SPECIES
Na 22.99 Na.upf
I 126.90 I.upf
Br 79.90 Br.upf
CELL_PARAMETERS angstrom
5.9820 0.0000 0.0000
0.0000 5.9820 0.0000
0.0000 0.0000 5.9820
ATOMIC_POSITIONS crystal
Na 0.0000 0.0000 0.5000
Na 0.0000 0.5000 0.0000
Na 0.5000 0.0000 0.0000
I 0.0000 0.0000 0.0000
Br 0.5000 0.5000 0.5000
! symmetry	No. 221
! DOS(E_F)	1.50	states/eV per cell



So which one is most stable? That would be (one), about 0.179 eV/atom below the next structure.



(one)
! TaSb2IBr, PBEsol geometry, DFT SCAN; values from VASP
&SYSTEM
  ibrav = 0, nat = 5, ntyp = 4
/
ATOMIC_SPECIES
Ta 180.95 Ta.upf
Sb 121.76 Sb.upf
I 126.90 I.upf
Br 79.90 Br.upf
CELL_PARAMETERS angstrom
5.3261 0.0000 0.0000
0.0000 5.3261 0.0000
0.0000 0.0000 5.3336
ATOMIC_POSITIONS crystal
Ta 0.0000 0.0000 0.0000
Sb 0.0000 0.5000 0.0000
Sb 0.5000 0.0000 0.0000
I 0.0000 0.0000 0.5000
Br 0.5000 0.5000 0.5000
! symmetry	No. 123
! DOS(E_F)	4.13	states/eV per cell



(two)
! TaSb2IBr, PBEsol geometry, DFT SCAN; values from VASP
&SYSTEM
  ibrav = 0, nat = 5, ntyp = 4
/
ATOMIC_SPECIES
Ta 180.95 Ta.upf
Sb 121.76 Sb.upf
I 126.90 I.upf
Br 79.90 Br.upf
CELL_PARAMETERS angstrom
5.3212 0.0000 0.0000
0.0000 5.3212 0.0000
0.0000 0.0000 5.4431
ATOMIC_POSITIONS crystal
Ta 0.0000 0.0000 0.0000
Sb 0.0000 0.5000 0.5000
Sb 0.5000 0.0000 0.5000
I 0.5000 0.5000 0.0000
Br 0.5000 0.5000 0.5000
! symmetry	No. 123
! DOS(E_F)	4.04	states/eV per cell



So which one is most stable? That would be (one), about 1.505 eV/atom below the next structure.



(one)
! SbTeI2Br, PBEsol geometry, DFT SCAN; values from VASP
&SYSTEM
  ibrav = 0, nat = 5, ntyp = 4
/
ATOMIC_SPECIES
Sb 121.76 Sb.upf
Te 127.60 Te.upf
I 126.90 I.upf
Br 79.90 Br.upf
CELL_PARAMETERS angstrom
5.6710 0.0000 0.0000
0.0000 5.6710 0.0000
0.0000 0.0000 5.5514
ATOMIC_POSITIONS crystal
Sb 0.0000 0.0000 0.0000
Te 0.5000 0.5000 0.0000
I 0.0000 0.5000 0.5000
I 0.5000 0.0000 0.5000
Br 0.5000 0.5000 0.5000
! symmetry	No. 123
! DOS(E_F)	5.66	states/eV per cell



(two)
! SbTeI2Br, PBEsol geometry, DFT SCAN; values from VASP
&SYSTEM
  ibrav = 0, nat = 5, ntyp = 4
/
ATOMIC_SPECIES
Sb 121.76 Sb.upf
Te 127.60 Te.upf
I 126.90 I.upf
Br 79.90 Br.upf
CELL_PARAMETERS angstrom
5.7974 0.0000 0.0000
0.0000 5.7974 0.0000
0.0000 0.0000 5.9149
ATOMIC_POSITIONS crystal
Sb 0.0000 0.0000 0.0000
Te 0.0000 0.0000 0.5000
I 0.0000 0.5000 0.5000
I 0.5000 0.0000 0.5000
Br 0.5000 0.5000 0.0000
! symmetry	No. 123
! DOS(E_F)	3.71	states/eV per cell



So which one is most stable? That would be (two), about 0.444 eV/atom below the next structure.



(one)
! TeIBr2, PBEsol geometry, DFT SCAN; values from VASP
&SYSTEM
  ibrav = 0, nat = 16, ntyp = 3
/
ATOMIC_SPECIES
Te 127.60 Te.upf
I 126.90 I.upf
Br 79.90 Br.upf
CELL_PARAMETERS angstrom
8.3748 0.0000 0.0000
0.0000 8.3748 0.0000
0.0000 0.0000 13.8171
ATOMIC_POSITIONS crystal
Te 0.0000 0.2500 0.3750
Te 0.0000 0.7500 0.6250
Te 0.5000 0.2500 0.1250
Te 0.5000 0.7500 0.8750
I 0.0000 0.2500 0.8750
I 0.0000 0.7500 0.1250
I 0.5000 0.2500 0.6250
I 0.5000 0.7500 0.3750
Br 0.0000 0.0000 0.5000
Br 0.0000 0.5000 0.5000
Br 0.2500 0.2500 0.2500
Br 0.2500 0.7500 0.7500
Br 0.5000 0.0000 0.0000
Br 0.5000 0.5000 0.0000
Br 0.7500 0.2500 0.2500
Br 0.7500 0.7500 0.7500
! symmetry	No. 141
! DOS(E_F)	18.70	states/eV per cell



(two)
! TeIBr2, PBEsol geometry, DFT SCAN; values from VASP
&SYSTEM
  ibrav = 0, nat = 12, ntyp = 3
/
ATOMIC_SPECIES
Te 127.60 Te.upf
I 126.90 I.upf
Br 79.90 Br.upf
CELL_PARAMETERS angstrom
3.4583 0.0000 0.0000
-1.7292 2.9950 0.0000
0.0000 0.0000 36.7996
ATOMIC_POSITIONS crystal
Te 0.0000 0.0000 0.0000
Te 0.3333 0.6667 0.6667
Te 0.6667 0.3333 0.3333
I 0.0000 0.0000 0.5000
I 0.3333 0.6667 0.1667
I 0.6667 0.3333 0.8333
Br 0.0000 0.0000 0.0703
Br 0.0000 0.0000 0.9297
Br 0.3333 0.6667 0.5963
Br 0.3333 0.6667 0.7370
Br 0.6667 0.3333 0.2630
Br 0.6667 0.3333 0.4037
! symmetry	No. 166
! DOS(E_F)	8.15	states/eV per cell



So which one is most stable? That would be (two), about 0.197 eV/atom below the next structure.



(one)
! Mg2InBr, PBEsol geometry, DFT SCAN; values from VASP
&SYSTEM
  ibrav = 0, nat = 4, ntyp = 3
/
ATOMIC_SPECIES
Mg 24.30 Mg.upf
In 114.82 In.upf
Br 79.90 Br.upf
CELL_PARAMETERS angstrom
3.3851 0.0000 0.0000
0.0000 3.4305 0.0000
0.0000 0.0000 7.9697
ATOMIC_POSITIONS crystal
Mg 0.0000 0.0000 0.2425
Mg 0.0000 0.0000 0.7575
In 0.5000 0.5000 0.0000
Br 0.5000 0.5000 0.5000
! symmetry	No. 47
! DOS(E_F)	1.46	states/eV per cell



(two)
! Mg2InBr, PBEsol geometry, DFT SCAN; values from VASP
&SYSTEM
  ibrav = 0, nat = 8, ntyp = 3
/
ATOMIC_SPECIES
Mg 24.30 Mg.upf
In 114.82 In.upf
Br 79.90 Br.upf
CELL_PARAMETERS angstrom
3.3392 0.0000 0.0000
0.0000 5.9334 0.0000
0.0000 0.0000 9.9518
ATOMIC_POSITIONS crystal
Mg 0.0000 0.0000 0.2367
Mg 0.0000 0.0000 0.7633
Mg 0.5000 0.5000 0.2633
Mg 0.5000 0.5000 0.7367
In 0.0000 0.5000 0.0000
In 0.5000 0.0000 0.5000
Br 0.0000 0.5000 0.5000
Br 0.5000 0.0000 0.0000
! symmetry	No. 71
! DOS(E_F)	2.50	states/eV per cell



(three)
! Mg2InBr, PBEsol geometry, DFT SCAN; values from VASP
&SYSTEM
  ibrav = 0, nat = 8, ntyp = 3
/
ATOMIC_SPECIES
Mg 24.30 Mg.upf
In 114.82 In.upf
Br 79.90 Br.upf
CELL_PARAMETERS angstrom
4.7093 0.0000 0.0000
0.0000 4.7093 0.0000
0.0000 0.0000 8.9674
ATOMIC_POSITIONS crystal
Mg 0.0000 0.5000 0.2500
Mg 0.0000 0.5000 0.7500
Mg 0.5000 0.0000 0.2500
Mg 0.5000 0.0000 0.7500
In 0.0000 0.0000 0.0000
In 0.5000 0.5000 0.5000
Br 0.0000 0.0000 0.5000
Br 0.5000 0.5000 0.0000
! symmetry	No. 139
! DOS(E_F)	4.63	states/eV per cell



(four)
! Mg2InBr, PBEsol geometry, DFT SCAN; values from VASP
&SYSTEM
  ibrav = 0, nat = 4, ntyp = 3
/
ATOMIC_SPECIES
Mg 24.30 Mg.upf
In 114.82 In.upf
Br 79.90 Br.upf
CELL_PARAMETERS angstrom
5.3706 0.0000 0.0000
0.0000 5.3706 0.0000
0.0000 0.0000 3.2692
ATOMIC_POSITIONS crystal
Mg 0.0000 0.5000 0.0000
Mg 0.5000 0.0000 0.0000
In 0.0000 0.0000 0.5000
Br 0.5000 0.5000 0.5000
! symmetry	No. 123
! DOS(E_F)	1.39	states/eV per cell



So which one is most stable? That would be (one), about 0.057 eV/atom below the next structure.



(one)
! MgInBr2, PBEsol geometry, DFT SCAN; values from VASP
&SYSTEM
  ibrav = 0, nat = 4, ntyp = 3
/
ATOMIC_SPECIES
Mg 24.30 Mg.upf
In 114.82 In.upf
Br 79.90 Br.upf
CELL_PARAMETERS angstrom
3.4768 0.0000 0.0000
0.0000 3.4768 0.0000
0.0000 0.0000 8.4215
ATOMIC_POSITIONS crystal
Mg 0.0000 0.0000 0.0000
In 0.5000 0.5000 0.7341
Br 0.0000 0.0000 0.5186
Br 0.5000 0.5000 0.1632
! symmetry	No. 99
! DOS(E_F)	0.95	states/eV per cell



(two)
! MgInBr2, PBEsol geometry, DFT SCAN; values from VASP
&SYSTEM
  ibrav = 0, nat = 8, ntyp = 3
/
ATOMIC_SPECIES
Mg 24.30 Mg.upf
In 114.82 In.upf
Br 79.90 Br.upf
CELL_PARAMETERS angstrom
3.6901 0.0000 0.0000
0.0000 6.2922 0.0000
0.0000 0.0000 9.8770
ATOMIC_POSITIONS crystal
Mg 0.0000 0.0000 0.0000
Mg 0.5000 0.5000 0.0000
In 0.0000 0.0000 0.5000
In 0.5000 0.5000 0.5000
Br 0.0000 0.5000 0.1806
Br 0.0000 0.5000 0.8194
Br 0.5000 0.0000 0.1806
Br 0.5000 0.0000 0.8194
! symmetry	No. 65
! DOS(E_F)	1.51	states/eV per cell



(three)
! MgInBr2, PBEsol geometry, DFT SCAN; values from VASP
&SYSTEM
  ibrav = 0, nat = 12, ntyp = 3
/
ATOMIC_SPECIES
Mg 24.30 Mg.upf
In 114.82 In.upf
Br 79.90 Br.upf
CELL_PARAMETERS angstrom
3.9968 0.0000 0.0000
-1.9984 3.4613 0.0000
0.0000 0.0000 28.4295
ATOMIC_POSITIONS crystal
Mg 0.0000 0.0000 0.0000
Mg 0.3333 0.6667 0.6667
Mg 0.6667 0.3333 0.3333
In 0.0000 0.0000 0.5000
In 0.3333 0.6667 0.1667
In 0.6667 0.3333 0.8333
Br 0.0000 0.0000 0.0891
Br 0.0000 0.0000 0.9109
Br 0.3333 0.6667 0.5775
Br 0.3333 0.6667 0.7558
Br 0.6667 0.3333 0.2442
Br 0.6667 0.3333 0.4225
! symmetry	No. 166
! DOS(E_F)	5.19	states/eV per cell



So which one is most stable? That would be (two), about 0.141 eV/atom below the next structure.



(one)
! InMoBr2, PBEsol geometry, DFT SCAN; values from VASP
&SYSTEM
  ibrav = 0, nat = 8, ntyp = 3
/
ATOMIC_SPECIES
In 114.82 In.upf
Mo 95.94 Mo.upf
Br 79.90 Br.upf
CELL_PARAMETERS angstrom
3.0962 0.0000 0.0000
0.0000 4.6433 0.0000
0.0000 0.0000 12.9857
ATOMIC_POSITIONS crystal
In 0.0000 0.0000 0.0000
In 0.5000 0.5000 0.5000
Mo 0.0000 0.5000 0.6903
Mo 0.5000 0.0000 0.1903
Br 0.0000 0.0000 0.3465
Br 0.0000 0.5000 0.1645
Br 0.5000 0.0000 0.6645
Br 0.5000 0.5000 0.8465
! symmetry	No. 44
! DOS(E_F)	6.28	states/eV per cell



(two)
! InMoBr2, PBEsol geometry, DFT SCAN; values from VASP
&SYSTEM
  ibrav = 0, nat = 4, ntyp = 3
/
ATOMIC_SPECIES
In 114.82 In.upf
Mo 95.94 Mo.upf
Br 79.90 Br.upf
CELL_PARAMETERS angstrom
5.2155 0.0000 0.0000
0.0000 5.2155 0.0000
0.0000 0.0000 3.6937
ATOMIC_POSITIONS crystal
In 0.0000 0.0000 0.0000
Mo 0.5000 0.5000 0.0000
Br 0.0000 0.5000 0.5000
Br 0.5000 0.0000 0.5000
! symmetry	No. 123
! DOS(E_F)	0.52	states/eV per cell



(three)
! InMoBr2, PBEsol geometry, DFT SCAN; values from VASP
&SYSTEM
  ibrav = 0, nat = 4, ntyp = 3
/
ATOMIC_SPECIES
In 114.82 In.upf
Mo 95.94 Mo.upf
Br 79.90 Br.upf
CELL_PARAMETERS angstrom
3.4766 0.0000 0.0000
0.0000 4.2593 0.0000
-1.3135 0.0000 6.2851
ATOMIC_POSITIONS crystal
In 0.0000 0.0000 0.0000
Mo 0.5000 0.0000 0.5000
Br 0.3828 0.5000 0.7199
Br 0.6172 0.5000 0.2801
! symmetry	No. 10
! DOS(E_F)	1.66	states/eV per cell



(four)
! InMoBr2, PBEsol geometry, DFT SCAN; values from VASP
&SYSTEM
  ibrav = 0, nat = 16, ntyp = 3
/
ATOMIC_SPECIES
In 114.82 In.upf
Mo 95.94 Mo.upf
Br 79.90 Br.upf
CELL_PARAMETERS angstrom
7.2891 0.0000 0.0000
0.0000 7.2891 0.0000
0.0000 0.0000 7.2891
ATOMIC_POSITIONS crystal
In 0.0000 0.0000 0.0000
In 0.0000 0.5000 0.5000
In 0.5000 0.0000 0.5000
In 0.5000 0.5000 0.0000
Mo 0.2500 0.2500 0.7500
Mo 0.2500 0.7500 0.2500
Mo 0.7500 0.2500 0.2500
Mo 0.7500 0.7500 0.7500
Br 0.0000 0.0000 0.5000
Br 0.0000 0.5000 0.0000
Br 0.2500 0.2500 0.2500
Br 0.2500 0.7500 0.7500
Br 0.5000 0.0000 0.0000
Br 0.5000 0.5000 0.5000
Br 0.7500 0.2500 0.7500
Br 0.7500 0.7500 0.2500
! symmetry	No. 216
! DOS(E_F)	1.17	states/eV per cell



So which one is most stable? That would be (three), about 0.054 eV/atom below the next structure.



(one)
! InMoBr2, PBEsol geometry, DFT SCAN; values from VASP
&SYSTEM
  ibrav = 0, nat = 4, ntyp = 3
/
ATOMIC_SPECIES
In 114.82 In.upf
Mo 95.94 Mo.upf
Br 79.90 Br.upf
CELL_PARAMETERS angstrom
4.3092 0.0000 0.0000
0.0000 3.3591 0.0000
-2.1362 0.0000 7.0974
ATOMIC_POSITIONS crystal
In 0.0000 0.0000 0.0000
Mo 0.5366 0.5000 0.0738
Br 0.3563 0.5000 0.7181
Br 0.6713 0.0000 0.3447
! symmetry	No. 6
! DOS(E_F)	0.75	states/eV per cell



(two)
! InMoBr2, PBEsol geometry, DFT SCAN; values from VASP
&SYSTEM
  ibrav = 0, nat = 8, ntyp = 3
/
ATOMIC_SPECIES
In 114.82 In.upf
Mo 95.94 Mo.upf
Br 79.90 Br.upf
CELL_PARAMETERS angstrom
3.1468 0.0000 0.0000
0.0000 5.9560 0.0000
0.0000 0.0000 9.8929
ATOMIC_POSITIONS crystal
In 0.0000 0.0000 0.0000
In 0.5000 0.5000 0.0000
Mo 0.0000 0.0000 0.5000
Mo 0.5000 0.5000 0.5000
Br 0.0000 0.5000 0.2956
Br 0.0000 0.5000 0.7044
Br 0.5000 0.0000 0.2956
Br 0.5000 0.0000 0.7044
! symmetry	No. 65
! DOS(E_F)	3.17	states/eV per cell



So which one is most stable? That would be (one), about 0.301 eV/atom below the next structure.